Record 1
First-principles (PBE) data for a geometry-optimized YSiCl structure, as listed in the Alexandria database.

**Symmetry**: F-43m, No. 216
**Magnetization**: 0.0 Bohr magnetons per cell
**Formation energy from raw total energies**: -17.1 kJ per mole of atoms
**Uncorrected energy**: -4.7549 eV per atom

abc: 4.6158 4.6158 4.6158
angles: 60.00 60.00 60.00
Atoms (fractional coordinates):
1 Y 0.5000 0.5000 0.5000
2 Si 0.0000 0.0000 0.0000
3 Cl 0.7500 0.7500 0.7500



Record 2
First-principles (PBE) data for a geometry-optimized YSiCl3 structure, as listed in the Alexandria database.

**Energy relative to the lowest polymorph listed for this composition**: 0 kJ/mol of formula units
**Symmetry**: Pm-3m, No. 221
**Magnetization**: 2.0 Bohr magnetons per cell
**Formation energy from raw total energies**: -84.9 kJ per mole of atoms
**Uncorrected energy**: -4.3652 eV per atom

abc: 5.3257 5.3257 5.3257
angles: 90.00 90.00 90.00
Last column: magnetic moment on the atom in μB.
Atoms (fractional coordinates):
1 Cl 0.0000 0.5000 0.0000  0.01
2 Cl 0.5000 0.0000 0.0000  0.02
3 Cl 0.0000 0.0000 0.5000  0.04
4 Si 0.5000 0.5000 0.5000  0.55
5 Y 0.0000 0.0000 0.0000  0.02



Record 3
First-principles (PBE) data for a geometry-optimized YSiCl structure, as listed in the Alexandria database.

**Symmetry**: P-6m2, No. 187
**Magnetization**: 0.8 Bohr magnetons per cell
**Formation energy from raw total energies**: -51.2 kJ per mole of atoms
**Uncorrected energy**: -5.1086 eV per atom

abc: 4.7099 4.7099 3.5149
angles: 90.00 90.00 120.00
Last column: magnetic moment on the atom in μB.
Atoms (fractional coordinates):
1 Cl 0.0000 0.0000 0.8331  0.06
2 Si 0.6667 0.3333 0.3336  0.16
3 Y 0.3333 0.6667 0.8332  0.12



Q: What is the magnetization in the second record?
A: 2.0 Bohr magnetons per cell